VASP calculation (PBE-GGA) on crystalline Nd2HoTe4 at its relaxed geometry.

Structure (extended XYZ):
```
7
Lattice="4.2719 0.0000 -1.1683 -0.7272 7.3090 -2.6592 0.0315 -1.1616 8.5094" Properties=species:S:1:pos:R:3 pbc="T T T"
Te 3.6498 0.6186 4.9514
Te -0.0737 5.5288 -0.2695
Te 1.1020 4.3865 4.0295
Te 2.4741 1.7609 0.6524
Nd 2.6287 4.9384 1.2179
Nd 0.9473 1.2090 3.4640
Ho 0.0000 0.0000 0.0000
```

Results
The value obtained for the excess energy over the best structure of this formula in the dataset is 0.0 meV per atom. The value obtained for the uncorrected formation energy is -1395 meV/atom. Its density is 6.36 g cm⁻³. For the total magnetization, the calculation gives 0.000 μB/atom.